Entry P
DFT (PBE-GGA) results for an optimized crystal structure of SrScB2.

Cell lengths 4.5000, 4.5000, 8.8019 Å; angles 75.19, 75.19, 90.00 degrees
Sites, in units of the cell vectors:
B1 0.3744 0.1250 0.2500
B2 0.8750 0.6244 0.7500
B3 0.3756 0.6250 0.2500
B4 0.3750 0.6256 0.7500
Sr1 0.7500 0.2500 0.5000
Sr2 0.0000 0.0000 0.0000
Sc1 0.5000 0.5000 0.0000
Sc2 0.2500 0.7500 0.5000

Computed properties:
- SG = I4_1/amd, No. 141
- N(E_F) (states/eV/f.u.) = 5.143
- density (g cm⁻³) = 3.1

---

Entry Q
DFT (PBE-GGA) results for an optimized crystal structure of SrScB2.

Cell lengths 4.5840, 4.5840, 4.5840 Å; angles 60.00, 60.00, 60.00 degrees
Sites, in units of the cell vectors:
Sc1 0.0000 0.0000 0.0000
B1 0.7500 0.7500 0.7500
B2 0.2500 0.2500 0.2500
Sr1 0.5000 0.5000 0.5000

Computed properties:
- SG = Fm-3m, No. 225
- N(E_F) (states/eV/f.u.) = 2.796
- density (g cm⁻³) = 3.8

---

If we sort the structures by their calculated energies, the order from most to least stable is entry Q, entry P.

---

Entry P
DFT (PBE-GGA) results for an optimized crystal structure of SrSc3B.

Cell lengths 5.1067, 5.1067, 5.1067 Å; angles 90.00, 90.00, 90.00 degrees
Sites, in units of the cell vectors:
Sc1 0.5000 0.0000 0.0000
Sc2 0.0000 0.0000 0.5000
Sc3 0.0000 0.5000 0.0000
B1 0.5000 0.5000 0.5000
Sr1 0.0000 0.0000 0.0000

Computed properties:
- SG = Pm-3m, No. 221
- N(E_F) (states/eV/f.u.) = 3.869
- density (g cm⁻³) = 2.9

---

Entry Q
DFT (PBE-GGA) results for an optimized crystal structure of SrSc3B.

Cell lengths 4.9414, 4.9414, 4.9414 Å; angles 90.00, 90.00, 90.00 degrees
Sites, in units of the cell vectors:
Sc1 0.0000 0.0000 0.5000
Sc2 0.0000 0.5000 0.0000
Sc3 0.5000 0.0000 0.0000
B1 0.0000 0.0000 0.0000
Sr1 0.5000 0.5000 0.5000

Computed properties:
- SG = Pm-3m, No. 221
- N(E_F) (states/eV/f.u.) = 4.768
- density (g cm⁻³) = 3.2

---

If we sort the structures by their calculated energies, the order from most to least stable is entry Q, entry P.

---

Entry P
DFT (PBE-GGA) results for an optimized crystal structure of ScTa2B6.

Cell lengths 3.3556, 5.3792, 5.3792 Å; angles 120.00, 90.00, 90.00 degrees
Sites, in units of the cell vectors:
B1 0.5000 0.0000 0.6664
B2 0.5000 0.6664 0.6664
B3 0.5000 0.3336 0.3336
B4 0.5000 0.6664 0.0000
B5 0.5000 0.0000 0.3336
B6 0.5000 0.3336 0.0000
Sc1 0.0000 0.0000 0.0000
Ta1 0.0000 0.6667 0.3333
Ta2 0.0000 0.3333 0.6667

Computed properties:
- SG = P6/mmm, No. 191
- N(E_F) (states/eV/f.u.) = 1.636
- density (g cm⁻³) = 9.3

---

Entry Q
DFT (PBE-GGA) results for an optimized crystal structure of ScTa2B6.

Cell lengths 3.1816, 5.7802, 5.7802 Å; angles 78.89, 74.03, 74.03 degrees
Sites, in units of the cell vectors:
Ta1 0.3324 0.1676 0.1676
Ta2 0.6676 0.8324 0.8324
B1 0.1970 0.5687 0.0372
B2 0.8030 0.4313 0.9628
B3 0.8030 0.9628 0.4313
B4 0.0000 0.8575 0.1425
B5 0.0000 0.1425 0.8575
B6 0.1970 0.0372 0.5687
Sc1 0.5000 0.5000 0.5000

Computed properties:
- SG = Immm, No. 71
- N(E_F) (states/eV/f.u.) = 2.767
- density (g cm⁻³) = 8.0

---

If we sort the structures by their calculated energies, the order from most to least stable is entry P, entry Q.

---

Entry P
DFT (PBE-GGA) results for an optimized crystal structure of Sc2Tc2B.

Cell lengths 6.2583, 6.2583, 4.0494 Å; angles 90.00, 90.00, 90.00 degrees
Sites, in units of the cell vectors:
B1 0.0000 0.0000 0.0000
B2 0.5000 0.5000 0.0000
Sc1 0.3466 0.8466 0.0000
Sc2 0.8466 0.6534 0.0000
Sc3 0.1534 0.3466 0.0000
Sc4 0.6534 0.1534 0.0000
Tc1 0.6744 0.8256 0.5000
Tc2 0.1744 0.6744 0.5000
Tc3 0.3256 0.1744 0.5000
Tc4 0.8256 0.3256 0.5000

Computed properties:
- SG = P4/mbm, No. 127
- N(E_F) (states/eV/f.u.) = 5.692
- density (g cm⁻³) = 6.2

---

Entry Q
DFT (PBE-GGA) results for an optimized crystal structure of Sc2Tc2B.

Cell lengths 3.3761, 3.3761, 8.2366 Å; angles 78.17, 78.17, 90.00 degrees
Sites, in units of the cell vectors:
Tc1 0.2500 0.7500 0.5000
Tc2 0.7500 0.2500 0.5000
Sc1 0.4076 0.4076 0.1849
Sc2 0.5924 0.5924 0.8151
B1 0.0000 0.0000 0.0000

Computed properties:
- SG = I4/mmm, No. 139
- N(E_F) (states/eV/f.u.) = 3.861
- density (g cm⁻³) = 5.5

---

If we sort the structures by their calculated energies, the order from most to least stable is entry Q, entry P.

---

Entry P
DFT (PBE-GGA) results for an optimized crystal structure of ScB3Te.

Cell lengths 4.3963, 4.3963, 4.3963 Å; angles 90.00, 90.00, 90.00 degrees
Sites, in units of the cell vectors:
Sc1 0.5000 0.5000 0.5000
B1 0.0000 0.5000 0.0000
B2 0.5000 0.0000 0.0000
B3 0.0000 0.0000 0.5000
Te1 0.0000 0.0000 0.0000

Computed properties:
- SG = Pm-3m, No. 221
- N(E_F) (states/eV/f.u.) = 3.227
- density (g cm⁻³) = 4.0

---

Entry Q
DFT (PBE-GGA) results for an optimized crystal structure of ScB3Te.

Cell lengths 4.5100, 4.5100, 4.5100 Å; angles 90.00, 90.00, 90.00 degrees
Sites, in units of the cell vectors:
Sc1 0.0000 0.0000 0.0000
B1 0.0000 0.5000 0.0000
B2 0.0000 0.0000 0.5000
B3 0.5000 0.0000 0.0000
Te1 0.5000 0.5000 0.5000

Computed properties:
- SG = Pm-3m, No. 221
- N(E_F) (states/eV/f.u.) = 5.093
- density (g cm⁻³) = 3.7

---

If we sort the structures by their calculated energies, the order from most to least stable is entry P, entry Q.

---

Entry P
DFT (PBE-GGA) results for an optimized crystal structure of Sc2BTe2.

Cell lengths 7.2510, 7.2510, 4.1497 Å; angles 90.00, 90.00, 90.00 degrees
Sites, in units of the cell vectors:
Te1 0.8452 0.3452 0.5000
Te2 0.1548 0.6548 0.5000
Te3 0.3452 0.1548 0.5000
Te4 0.6548 0.8452 0.5000
Sc1 0.1627 0.3373 0.0000
Sc2 0.6627 0.1627 0.0000
Sc3 0.8373 0.6627 0.0000
Sc4 0.3373 0.8373 0.0000
B1 0.5000 0.5000 0.0000
B2 0.0000 0.0000 0.0000

Computed properties:
- SG = P4/mbm, No. 127
- N(E_F) (states/eV/f.u.) = 2.622
- density (g cm⁻³) = 5.4

---

Entry Q
DFT (PBE-GGA) results for an optimized crystal structure of Sc2BTe2.

Cell lengths 4.1675, 4.1675, 7.7127 Å; angles 74.33, 74.33, 90.00 degrees
Sites, in units of the cell vectors:
Te1 0.2500 0.7500 0.5000
Te2 0.7500 0.2500 0.5000
Sc1 0.5999 0.5999 0.8002
Sc2 0.4001 0.4001 0.1998
B1 0.0000 0.0000 0.0000

Computed properties:
- SG = I4/mmm, No. 139
- N(E_F) (states/eV/f.u.) = 3.767
- density (g cm⁻³) = 4.8

---

If we sort the structures by their calculated energies, the order from most to least stable is entry P, entry Q.

---

Entry P
DFT (PBE-GGA) results for an optimized crystal structure of Sc3TiB.

Cell lengths 4.6978, 4.6978, 4.6978 Å; angles 90.00, 90.00, 90.00 degrees
Sites, in units of the cell vectors:
Sc1 0.0000 0.5000 0.0000
Sc2 0.0000 0.0000 0.5000
Sc3 0.5000 0.0000 0.0000
B1 0.0000 0.0000 0.0000
Ti1 0.5000 0.5000 0.5000

Computed properties:
- SG = Pm-3m, No. 221
- N(E_F) (states/eV/f.u.) = 10.063
- density (g cm⁻³) = 3.1

---

Entry Q
DFT (PBE-GGA) results for an optimized crystal structure of Sc3TiB.

Cell lengths 4.8212, 4.8212, 4.8212 Å; angles 90.00, 90.00, 90.00 degrees
Sites, in units of the cell vectors:
Sc1 0.0000 0.5000 0.0000
Sc2 0.5000 0.0000 0.0000
Sc3 0.0000 0.0000 0.5000
B1 0.5000 0.5000 0.5000
Ti1 0.0000 0.0000 0.0000

Computed properties:
- SG = Pm-3m, No. 221
- N(E_F) (states/eV/f.u.) = 7.135
- density (g cm⁻³) = 2.9

---

If we sort the structures by their calculated energies, the order from most to least stable is entry P, entry Q.

---

Entry P
DFT (PBE-GGA) results for an optimized crystal structure of ScTiB2.

Cell lengths 6.1063, 6.1063, 5.2034 Å; angles 54.07, 54.07, 90.00 degrees
Sites, in units of the cell vectors:
B1 0.6441 0.1250 0.2500
B2 0.1059 0.6250 0.2500
B3 0.8750 0.8941 0.7500
B4 0.3750 0.3559 0.7500
Sc1 0.5000 0.5000 0.0000
Sc2 0.2500 0.7500 0.5000
Ti1 0.0000 0.0000 0.0000
Ti2 0.7500 0.2500 0.5000

Computed properties:
- SG = I-42d, No. 122
- N(E_F) (states/eV/f.u.) = 2.849
- density (g cm⁻³) = 3.5

---

Entry Q
DFT (PBE-GGA) results for an optimized crystal structure of ScTiB2.

Cell lengths 4.0742, 4.0742, 4.0742 Å; angles 60.00, 60.00, 60.00 degrees
Sites, in units of the cell vectors:
Sc1 0.0000 0.0000 0.0000
Ti1 0.5000 0.5000 0.5000
B1 0.7500 0.7500 0.7500
B2 0.2500 0.2500 0.2500

Computed properties:
- SG = Fm-3m, No. 225
- N(E_F) (states/eV/f.u.) = 5.181
- density (g cm⁻³) = 4.0

---

If we sort the structures by their calculated energies, the order from most to least stable is entry Q, entry P.

---

Entry P
DFT (PBE-GGA) results for an optimized crystal structure of ScTl3B.

Cell lengths 5.6305, 5.6305, 5.6305 Å; angles 90.00, 90.00, 90.00 degrees
Sites, in units of the cell vectors:
Tl1 0.5000 0.0000 0.0000
Tl2 0.0000 0.5000 0.0000
Tl3 0.0000 0.0000 0.5000
Sc1 0.0000 0.0000 0.0000
B1 0.5000 0.5000 0.5000

Computed properties:
- SG = Pm-3m, No. 221
- N(E_F) (states/eV/f.u.) = 4.683
- density (g cm⁻³) = 6.2

---

Entry Q
DFT (PBE-GGA) results for an optimized crystal structure of ScTl3B.

Cell lengths 4.9458, 4.9458, 4.9458 Å; angles 90.00, 90.00, 90.00 degrees
Sites, in units of the cell vectors:
Tl1 0.5000 0.0000 0.0000
Tl2 0.0000 0.5000 0.0000
Tl3 0.0000 0.0000 0.5000
Sc1 0.5000 0.5000 0.5000
B1 0.0000 0.0000 0.0000

Computed properties:
- SG = Pm-3m, No. 221
- N(E_F) (states/eV/f.u.) = 3.373
- density (g cm⁻³) = 9.2

---

If we sort the structures by their calculated energies, the order from most to least stable is entry Q, entry P.

---

Entry P
DFT (PBE-GGA) results for an optimized crystal structure of Sc2Tl2B.

Cell lengths 3.9707, 3.9707, 8.2126 Å; angles 76.01, 76.01, 90.00 degrees
Sites, in units of the cell vectors:
Tl1 0.5920 0.5920 0.8159
Tl2 0.4080 0.4080 0.1841
B1 0.0000 0.0000 0.0000
Sc1 0.2500 0.7500 0.5000
Sc2 0.7500 0.2500 0.5000

Computed properties:
- SG = I4/mmm, No. 139
- N(E_F) (states/eV/f.u.) = 5.156
- density (g cm⁻³) = 7.0

---

Entry Q
DFT (PBE-GGA) results for an optimized crystal structure of Sc2Tl2B.

Cell lengths 6.7466, 6.7466, 4.6438 Å; angles 90.00, 90.00, 90.00 degrees
Sites, in units of the cell vectors:
Sc1 0.6637 0.8363 0.5000
Sc2 0.3363 0.1637 0.5000
Sc3 0.1637 0.6637 0.5000
Sc4 0.8363 0.3363 0.5000
Tl1 0.3460 0.8460 0.0000
Tl2 0.8460 0.6540 0.0000
Tl3 0.1540 0.3460 0.0000
Tl4 0.6540 0.1540 0.0000
B1 0.5000 0.5000 0.0000
B2 0.0000 0.0000 0.0000

Computed properties:
- SG = P4/mbm, No. 127
- N(E_F) (states/eV/f.u.) = 3.946
- density (g cm⁻³) = 8.0

---

If we sort the structures by their calculated energies, the order from most to least stable is entry Q, entry P.

---

Entry P
DFT (PBE-GGA) results for an optimized crystal structure of Zr2ScTlB.

Cell lengths 4.6877, 4.6877, 4.6463 Å; angles 90.00, 90.00, 90.00 degrees
Sites, in units of the cell vectors:
Zr1 0.0000 0.5000 0.0000
Zr2 0.5000 0.0000 0.0000
Sc1 0.0000 0.0000 0.5000
Tl1 0.5000 0.5000 0.5000
B1 0.0000 0.0000 0.0000

Computed properties:
- SG = P4/mmm, No. 123
- N(E_F) (states/eV/f.u.) = 2.961
- density (g cm⁻³) = 7.2

---

Entry Q
DFT (PBE-GGA) results for an optimized crystal structure of Zr2ScTlB.

Cell lengths 5.3275, 5.3275, 5.1940 Å; angles 90.00, 90.00, 90.00 degrees
Sites, in units of the cell vectors:
B1 0.5000 0.5000 0.5000
Sc1 0.0000 0.0000 0.5000
Zr1 0.5000 0.0000 0.0000
Zr2 0.0000 0.5000 0.0000
Tl1 0.0000 0.0000 0.0000

Computed properties:
- SG = P4/mmm, No. 123
- N(E_F) (states/eV/f.u.) = 6.040
- density (g cm⁻³) = 5.0

---

If we sort the structures by their calculated energies, the order from most to least stable is entry P, entry Q.

---

Entry P
DFT (PBE-GGA) results for an optimized crystal structure of ScVB3.

Cell lengths 4.0895, 4.0895, 4.0895 Å; angles 90.00, 90.00, 90.00 degrees
Sites, in units of the cell vectors:
Sc1 0.0000 0.0000 0.0000
V1 0.5000 0.5000 0.5000
B1 0.5000 0.0000 0.0000
B2 0.0000 0.5000 0.0000
B3 0.0000 0.0000 0.5000

Computed properties:
- SG = Pm-3m, No. 221
- N(E_F) (states/eV/f.u.) = 8.505
- density (g cm⁻³) = 3.1

---

Entry Q
DFT (PBE-GGA) results for an optimized crystal structure of ScVB3.

Cell lengths 3.9324, 3.9324, 3.9324 Å; angles 90.00, 90.00, 90.00 degrees
Sites, in units of the cell vectors:
B1 0.0000 0.5000 0.0000
B2 0.0000 0.0000 0.5000
B3 0.5000 0.0000 0.0000
V1 0.0000 0.0000 0.0000
Sc1 0.5000 0.5000 0.5000

Computed properties:
- SG = Pm-3m, No. 221
- N(E_F) (states/eV/f.u.) = 2.454
- density (g cm⁻³) = 3.5

---

Entry R
DFT (PBE-GGA) results for an optimized crystal structure of ScVB3.

Cell lengths 3.3119, 3.0586, 9.6307 Å; angles 90.00, 99.90, 90.00 degrees
Sites, in units of the cell vectors:
B1 0.6214 0.7500 0.2428
B2 0.3786 0.2500 0.7572
B3 0.3281 0.7500 0.6562
B4 0.6719 0.2500 0.3438
B5 0.4766 0.2500 0.9532
B6 0.5234 0.7500 0.0468
V1 0.2065 0.7500 0.4129
V2 0.7935 0.2500 0.5871
Sc1 0.9267 0.7500 0.8533
Sc2 0.0733 0.2500 0.1467

Computed properties:
- SG = Cmcm, No. 63
- N(E_F) (states/eV/f.u.) = 1.446
- density (g cm⁻³) = 4.4

---

If we sort the structures by their calculated energies, the order from most to least stable is entry R, entry Q, entry P.

---

Entry P
DFT (PBE-GGA) results for an optimized crystal structure of Sc3VB.

Cell lengths 4.7439, 4.7439, 4.7439 Å; angles 90.00, 90.00, 90.00 degrees
Sites, in units of the cell vectors:
Sc1 0.5000 0.0000 0.0000
Sc2 0.0000 0.5000 0.0000
Sc3 0.0000 0.0000 0.5000
B1 0.5000 0.5000 0.5000
V1 0.0000 0.0000 0.0000

Computed properties:
- SG = Pm-3m, No. 221
- N(E_F) (states/eV/f.u.) = 7.343
- density (g cm⁻³) = 3.1

---

Entry Q
DFT (PBE-GGA) results for an optimized crystal structure of Sc3VB.

Cell lengths 4.6682, 4.6682, 4.6682 Å; angles 90.00, 90.00, 90.00 degrees
Sites, in units of the cell vectors:
Sc1 0.0000 0.5000 0.0000
Sc2 0.5000 0.0000 0.0000
Sc3 0.0000 0.0000 0.5000
B1 0.0000 0.0000 0.0000
V1 0.5000 0.5000 0.5000

Computed properties:
- SG = Pm-3m, No. 221
- N(E_F) (states/eV/f.u.) = 7.168
- density (g cm⁻³) = 3.2

---

If we sort the structures by their calculated energies, the order from most to least stable is entry Q, entry P.